1.
A PBEsol-optimized structure of K2SiRu, computed with SCAN.

abc: 3.049 3.623 9.944
angles: 90.00 90.00 90.00
Fractional positions:
K (0.000, 0.000, 0.083)
K (0.500, 0.500, 0.669)
Ru (0.000, 0.000, 0.393)
Si (0.500, 0.500, 0.356)

Properties
**Spin magnetization**: 0.011 μB/cell
**Calculated total energy**: -15.234 eV/atom
**D(E_F)**: 1.94 states/eV/cell
**E_form (uncorrected)**: 0.14 eV per atom



2.
A PBEsol-optimized structure of MgRePb2O6, computed with SCAN.

abc: 5.610 5.610 5.610
angles: 60.00 60.00 60.00
Fractional positions:
Mg (0.500, 0.500, 0.500)
Re (0.000, 0.000, 0.000)
Pb (0.250, 0.250, 0.250)
Pb (0.750, 0.750, 0.750)
O (0.759, 0.241, 0.241)
O (0.241, 0.759, 0.759)
O (0.759, 0.241, 0.759)
O (0.241, 0.759, 0.241)
O (0.759, 0.759, 0.241)
O (0.241, 0.241, 0.759)

Properties
**Spin magnetization**: 0.008 μB/cell
**Calculated total energy**: -28.224 eV/atom
**D(E_F)**: 3.10 states/eV/cell
**E_form (uncorrected)**: -1.72 eV per atom